one:
This record from Alexandria describes crystalline MgBeCr2 at its relaxed geometry. The functional is PBE-GGA.

## Properties
* space group: Cm, No. 8

abc: 4.333 4.333 4.910
angles: 86.23 86.23 33.20
Positions (direct):
Be (0.257, 0.257, 0.230)
Cr (0.989, 0.989, 0.991)
Mg (0.506, 0.506, 0.485)
Cr (0.749, 0.749, 0.794)

***

two:
This record from Alexandria describes crystalline MgBeCr2 at its relaxed geometry. The functional is PBE-GGA.

## Properties
* space group: I-42d, No. 122

abc: 3.435 3.435 9.352
angles: 79.42 79.42 90.00
Positions (direct):
Cr (0.164, 0.625, 0.250)
Mg (0.750, 0.250, 0.500)
Cr (0.875, 0.836, 0.750)
Be (0.500, 0.500, 0.000)
Mg (0.000, 0.000, 0.000)
Cr (0.586, 0.125, 0.250)
Be (0.250, 0.750, 0.500)
Cr (0.375, 0.414, 0.750)

***

Which structure wins on stability? one wins.

***

one:
This record from Alexandria describes crystalline MgBeCr2 at its relaxed geometry. The functional is PBE-GGA.

## Properties
* space group: Pm, No. 6

abc: 3.894 2.534 5.253
angles: 78.97 90.00 90.00
Positions (direct):
Cr (0.000, 0.035, 0.006)
Cr (0.500, 0.208, 0.202)
Be (0.500, 0.753, 0.785)
Mg (0.000, 0.504, 0.507)

***

two:
This record from Alexandria describes crystalline MgBeCr2 at its relaxed geometry. The functional is PBE-GGA.

## Properties
* space group: Cmmm, No. 65

abc: 4.796 4.796 2.455
angles: 90.00 90.00 118.88
Positions (direct):
Be (0.000, 0.500, 0.500)
Mg (0.500, 0.000, 0.500)
Cr (0.500, 0.500, 0.000)
Cr (0.000, 0.000, 0.000)

***

three:
This record from Alexandria describes crystalline MgBeCr2 at its relaxed geometry. The functional is PBE-GGA.

## Properties
* space group: R-3m, No. 166

abc: 8.767 8.767 8.767
angles: 17.07 17.07 17.07
Positions (direct):
Cr (0.008, 0.008, 0.008)
Be (0.750, 0.750, 0.750)
Cr (0.492, 0.492, 0.492)
Mg (0.250, 0.250, 0.250)

***

Which structure wins on stability? one wins.

***

one:
This record from Alexandria describes crystalline MgBeCr2 at its relaxed geometry. The functional is PBE-GGA.

## Properties
* space group: P4/mmm, No. 123

abc: 4.275 4.275 3.158
angles: 90.00 90.00 90.00
Positions (direct):
Be (0.000, 0.500, 0.500)
Cr (0.500, 0.500, 0.000)
Mg (0.500, 0.000, 0.500)
Cr (0.000, 0.000, 0.000)

***

two:
This record from Alexandria describes crystalline MgBeCr2 at its relaxed geometry. The functional is PBE-GGA.

## Properties
* space group: Pmmm, No. 47

abc: 2.469 4.028 5.026
angles: 90.00 90.00 90.00
Positions (direct):
Cr (0.000, 0.000, 0.532)
Cr (0.000, 0.000, 0.968)
Be (0.500, 0.500, 0.750)
Mg (0.500, 0.500, 0.250)

***

Which structure wins on stability? two wins.